Material: MgTe4As2
Method: DFT, PBE
State: optimized geometry

Calculated values
Its uncorrected formation energy is -223 meV per atom. The calculation puts the raw total energy at -3.57 eV per atom. Its volume is 29.19 Å³ per atom. Its space group is R-3m (166).

a b c (Å): 4.149 4.149 13.914
angles (deg): 81.43 81.43 60.00
Sites, in units of the cell vectors:
Mg 0.000 0.000 0.000
Te 0.125 0.125 0.624
Te 0.291 0.291 0.127
Te 0.709 0.709 0.873
Te 0.875 0.875 0.376
As 0.421 0.421 0.736
As 0.579 0.579 0.264

---

Material: Mg3TeAs
Method: DFT, PBE
State: optimized geometry

Calculated values
The calculation puts the energy above the most stable polymorph in this dataset at 0.625 eV/atom. Its uncorrected formation energy is 313 meV per atom. The calculation puts the raw total energy at -2.20 eV per atom. Its volume is 30.59 Å³ per atom. Its space group is Pm-3m (221).

a b c (Å): 5.348 5.348 5.348
angles (deg): 90.00 90.00 90.00
Sites, in units of the cell vectors:
As 0.500 0.500 0.500
Te 0.000 0.000 0.000
Mg 0.000 0.500 0.000
Mg 0.000 0.000 0.500
Mg 0.500 0.000 0.000

---

Material: MgZn2TeAs
Method: DFT, PBE
State: optimized geometry

Calculated values
Its uncorrected formation energy is 618 meV per atom. The calculation puts the raw total energy at -1.77 eV per atom. Its volume is 27.24 Å³ per atom. Its space group is P4/mmm (123).

a b c (Å): 4.944 5.573 4.944
angles (deg): 90.00 90.00 90.00
Sites, in units of the cell vectors:
Mg 0.000 0.000 0.000
As 0.500 0.500 0.500
Te 0.000 0.500 0.000
Zn 0.000 0.000 0.500
Zn 0.500 0.000 0.000

---

Material: ThMgAs
Method: DFT, PBE
State: optimized geometry

Calculated values
The energy of formation comes out at -0.417 eV/atom. The calculation puts the raw total energy at -4.97 eV per atom. Its volume is 27.46 Å³ per atom. Its space group is C2/m (12).

a b c (Å): 3.992 3.998 12.144
angles (deg): 99.67 90.00 119.95
Sites, in units of the cell vectors:
As 0.925 0.850 0.784
As 0.075 0.150 0.216
Mg 0.369 0.739 0.103
Mg 0.631 0.261 0.897
Th 0.796 0.592 0.375
Th 0.204 0.408 0.625